LiCrOs2Pb | SCAN | PBEsol geometry

Computed properties:
The calculation puts the total energy at -230.29 eV for the cell shown. The value obtained for the formation energy from the elements is 2.006 eV per atom. Its crystal system is tetragonal.

Cell lengths 4.931, 4.931, 4.465 Å; angles 90.00, 90.00, 90.00 degrees
Space group P4/mmm (No. 123)
One atom of each set of equivalent atoms:
Li: 0.000 0.000 0.000 x1
Cr: 0.500 0.500 0.000 x1
Os: 0.000 0.500 0.500 x2
Pb: 0.000 0.000 0.500 x1